GaFeIr2Rh after structural relaxation. Source: Alexandria, functional PBE-GGA.

Cell lengths 4.756, 4.756, 4.554 Å; angles 90.00, 90.00, 90.00 degrees
Fractional positions:
1 Ga 0.000 0.000 0.000
2 Fe 0.500 0.500 0.000
3 Ir 0.000 0.500 0.500
4 Ir 0.500 0.000 0.500
5 Rh 0.500 0.500 0.500

Values from the calculation:
Total moment, μB per cell: 4.161
Calculated formation energy, eV/atom: 1.49
Final energy, eV/atom: -5.82
SG: P4/mmm (123)